1.
# LaTlCoC2 PBE optimized geometry
data_LaTlCoC2
_space_group_name_H-M_alt 'P 1'
_space_group_IT_number 1
_space_group_name_Hall 'P 1'
_cell_length_a 4.483
_cell_length_b 4.483
_cell_length_c 4.765
_cell_angle_alpha 90.00
_cell_angle_beta 90.00
_cell_angle_gamma 90.00
loop_
_atom_site_label
_atom_site_fract_x
_atom_site_fract_y
_atom_site_fract_z
La1 0.000 0.000 0.000
Tl1 0.500 0.500 0.500
Co1 0.500 0.500 0.000
C1 0.000 0.500 0.500
C2 0.500 0.000 0.500
# Final energy: -4.621 eV/atom
# Crystal system: tetragonal
# Magnetic moment: 1.741 μB/f.u.

2.
# La2TlCoC PBE optimized geometry
data_La2TlCoC
_space_group_name_H-M_alt 'P 1'
_space_group_IT_number 1
_space_group_name_Hall 'P 1'
_cell_length_a 5.512
_cell_length_b 5.512
_cell_length_c 3.712
_cell_angle_alpha 90.00
_cell_angle_beta 90.00
_cell_angle_gamma 90.00
loop_
_atom_site_label
_atom_site_fract_x
_atom_site_fract_y
_atom_site_fract_z
La1 0.000 0.500 0.000
La2 0.500 0.000 0.000
Tl1 0.000 0.000 0.500
Co1 0.500 0.500 0.500
C1 0.500 0.500 0.000
# Final energy: -5.932 eV/atom
# Crystal system: tetragonal
# Magnetic moment: 0.001 μB/f.u.

3.
# La2Zn2Co2C PBE optimized geometry
data_La2Zn2Co2C
_space_group_name_H-M_alt 'P 1'
_space_group_IT_number 1
_space_group_name_Hall 'P 1'
_cell_length_a 11.040
_cell_length_b 4.220
_cell_length_c 7.366
_cell_angle_alpha 90.00
_cell_angle_beta 131.05
_cell_angle_gamma 90.00
loop_
_atom_site_label
_atom_site_fract_x
_atom_site_fract_y
_atom_site_fract_z
La1 0.052 0.000 0.319
La2 0.448 0.500 0.681
La3 0.552 0.500 0.319
La4 0.948 0.000 0.681
Zn1 0.164 0.500 0.104
Zn2 0.336 0.000 0.896
Zn3 0.664 0.000 0.104
Zn4 0.836 0.500 0.896
Co1 0.190 0.500 0.792
Co2 0.310 0.000 0.208
Co3 0.690 0.000 0.792
Co4 0.810 0.500 0.208
C1 0.000 0.500 0.500
C2 0.500 0.000 0.500
# Final energy: -5.350 eV/atom
# Crystal system: monoclinic
# Magnetic moment: 0.000 μB/f.u.

4.
# LiCo2C PBE optimized geometry
data_LiCo2C
_space_group_name_H-M_alt 'P 1'
_space_group_IT_number 1
_space_group_name_Hall 'P 1'
_cell_length_a 6.138
_cell_length_b 6.138
_cell_length_c 4.319
_cell_angle_alpha 90.00
_cell_angle_beta 90.00
_cell_angle_gamma 90.00
loop_
_atom_site_label
_atom_site_fract_x
_atom_site_fract_y
_atom_site_fract_z
Li1 0.000 0.000 0.000
Li2 0.000 0.500 0.250
Li3 0.500 0.000 0.750
Li4 0.500 0.500 0.500
Co1 0.138 0.250 0.625
Co2 0.250 0.638 0.875
Co3 0.250 0.862 0.375
Co4 0.362 0.250 0.125
Co5 0.638 0.750 0.125
Co6 0.750 0.138 0.375
Co7 0.750 0.362 0.875
Co8 0.862 0.750 0.625
C1 0.000 0.000 0.500
C2 0.000 0.500 0.750
C3 0.500 0.000 0.250
C4 0.500 0.500 0.000
# Final energy: -6.125 eV/atom
# Crystal system: tetragonal
# Magnetic moment: 0.383 μB/f.u.

5.
# LiCoC3 PBE optimized geometry
data_LiCoC3
_space_group_name_H-M_alt 'P 1'
_space_group_IT_number 1
_space_group_name_Hall 'P 1'
_cell_length_a 3.750
_cell_length_b 3.750
_cell_length_c 3.750
_cell_angle_alpha 90.00
_cell_angle_beta 90.00
_cell_angle_gamma 90.00
loop_
_atom_site_label
_atom_site_fract_x
_atom_site_fract_y
_atom_site_fract_z
Li1 0.000 0.000 0.000
Co1 0.500 0.500 0.500
C1 0.000 0.500 0.500
C2 0.500 0.000 0.500
C3 0.500 0.500 0.000
# Energy above the most stable polymorph in this dataset: 0.0 meV/atom
# Final energy: -5.436 eV/atom
# Crystal system: cubic
# Magnetic moment: 1.941 μB/f.u.

6.
# LiCoC PBE optimized geometry
data_LiCoC
_space_group_name_H-M_alt 'P 1'
_space_group_IT_number 1
_space_group_name_Hall 'P 1'
_cell_length_a 2.540
_cell_length_b 2.540
_cell_length_c 8.860
_cell_angle_alpha 90.00
_cell_angle_beta 90.00
_cell_angle_gamma 90.00
loop_
_atom_site_label
_atom_site_fract_x
_atom_site_fract_y
_atom_site_fract_z
Li1 0.000 0.000 0.000
Li2 0.500 0.500 0.500
Co1 0.000 0.000 0.266
Co2 0.500 0.500 0.766
C1 0.000 0.000 0.685
C2 0.500 0.500 0.185
# Final energy: -5.733 eV/atom
# Crystal system: tetragonal
# Magnetic moment: 0.000 μB/f.u.

7.
# Li2CoC PBE optimized geometry
data_Li2CoC
_space_group_name_H-M_alt 'P 1'
_space_group_IT_number 1
_space_group_name_Hall 'P 1'
_cell_length_a 2.961
_cell_length_b 2.961
_cell_length_c 16.431
_cell_angle_alpha 90.00
_cell_angle_beta 90.00
_cell_angle_gamma 90.00
loop_
_atom_site_label
_atom_site_fract_x
_atom_site_fract_y
_atom_site_fract_z
Li1 0.219 0.250 0.125
Li2 0.250 0.719 0.375
Li3 0.250 0.781 0.875
Li4 0.281 0.250 0.625
Li5 0.719 0.750 0.625
Li6 0.750 0.219 0.875
Li7 0.750 0.281 0.375
Li8 0.781 0.750 0.125
Co1 0.000 0.000 0.500
Co2 0.000 0.500 0.750
Co3 0.500 0.000 0.250
Co4 0.500 0.500 0.000
C1 0.000 0.000 0.000
C2 0.000 0.500 0.250
C3 0.500 0.000 0.750
C4 0.500 0.500 0.500
# Final energy: -4.339 eV/atom
# Crystal system: tetragonal
# Magnetic moment: 0.734 μB/f.u.

8.
# LiCo3C PBE optimized geometry
data_LiCo3C
_space_group_name_H-M_alt 'P 1'
_space_group_IT_number 1
_space_group_name_Hall 'P 1'
_cell_length_a 3.826
_cell_length_b 3.826
_cell_length_c 3.826
_cell_angle_alpha 90.00
_cell_angle_beta 90.00
_cell_angle_gamma 90.00
loop_
_atom_site_label
_atom_site_fract_x
_atom_site_fract_y
_atom_site_fract_z
Li1 0.000 0.000 0.000
Co1 0.000 0.000 0.500
Co2 0.000 0.500 0.000
Co3 0.500 0.000 0.000
C1 0.500 0.500 0.500
# Energy above the most stable polymorph in this dataset: 1992.5 meV/atom
# Final energy: -4.437 eV/atom
# Crystal system: cubic
# Magnetic moment: 4.891 μB/f.u.